1.
MnRe after structural relaxation. Source: Alexandria via LeMat-Bulk, functional PBE.

Results
Total energy: -10.440 eV/atom
Volume: 14.2 Å³/atom
Density of states at the Fermi level: 2.47 states/eV/f.u.
Calculated formation energy: 0.74 eV/f.u.

The structure in CIF format:
```
data_MnRe
_space_group_name_H-M_alt 'P 63/m'
_space_group_IT_number 176
_space_group_name_Hall '-P 6c'
_cell_length_a 7.0083
_cell_length_b 7.0083
_cell_length_c 4.0102
_cell_angle_alpha 90.00
_cell_angle_beta 90.00
_cell_angle_gamma 120.00
loop_
_atom_site_label
_atom_site_fract_x
_atom_site_fract_y
_atom_site_fract_z
Mn1 0.0388 0.2190 0.2500
Re1 0.0990 0.4793 0.7500
```

---

2.
TmZrPt2 after structural relaxation. Source: Alexandria via LeMat-Bulk, functional PBE.

Results
Total energy: -7.410 eV/atom
Volume: 20.7 Å³/atom
Density of states at the Fermi level: 2.85 states/eV/f.u.
Calculated formation energy: -4.54 eV/f.u.

The structure in CIF format:
```
data_TmZrPt2
_space_group_name_H-M_alt 'P 1 2/c 1'
_space_group_IT_number 13
_cell_length_a 5.5944
_cell_length_b 5.5704
_cell_length_c 11.0074
_cell_angle_alpha 90.00
_cell_angle_beta 105.31
_cell_angle_gamma 90.00
loop_
_space_group_symop_operation_xyz
'x,y,z'
'-x,-y,-z'
'-x,y,-z+1/2'
'x,-y,z+1/2'
loop_
_atom_site_label
_atom_site_fract_x
_atom_site_fract_y
_atom_site_fract_z
Tm1 0.1966 0.1232 0.1445
Zr1 0.3030 0.3722 0.8576
Pt1 0.1736 0.3800 0.5997
Pt2 0.3329 0.1353 0.4113
```

---

3.
AgW4Br after structural relaxation. Source: Alexandria via LeMat-Bulk, functional PBE.

Results
Total energy: -8.201 eV/atom
Volume: 18.4 Å³/atom
Density of states at the Fermi level: 5.69 states/eV/f.u.
Energy relative to the elements, uncorrected: 1.1889 eV/atom

The structure in CIF format:
```
data_AgW4Br
_space_group_name_H-M_alt 'F -4 3 m'
_space_group_IT_number 216
_space_group_name_Hall 'F -4 2 3'
_cell_length_a 7.6167
_cell_length_b 7.6167
_cell_length_c 7.6167
_cell_angle_alpha 90.00
_cell_angle_beta 90.00
_cell_angle_gamma 90.00
loop_
_atom_site_label
_atom_site_fract_x
_atom_site_fract_y
_atom_site_fract_z
Ag1 0.0000 0.0000 0.0000
W1 0.1265 0.1265 0.3735
Br1 0.2500 0.2500 0.7500
```

---

4.
Li2PmTm2Pb2 after structural relaxation. Source: Alexandria via LeMat-Bulk, functional PBE.

Results
Total energy: -3.873 eV/atom
Volume: 25.9 Å³/atom
Density of states at the Fermi level: 4.13 states/eV/f.u.
Calculated formation energy: -2.18 eV/f.u.

The structure in CIF format:
```
data_Li2PmTm2Pb2
_space_group_name_H-M_alt 'R -3 m'
_space_group_IT_number 166
_space_group_name_Hall '-R 3 2"'
_cell_length_a 4.8600
_cell_length_b 4.8600
_cell_length_c 26.5498
_cell_angle_alpha 90.00
_cell_angle_beta 90.00
_cell_angle_gamma 120.00
loop_
_atom_site_label
_atom_site_fract_x
_atom_site_fract_y
_atom_site_fract_z
Li1 0.0000 0.0000 0.0866
Pm1 0.0000 0.0000 0.5000
Tm1 0.0000 0.0000 0.3693
Pb1 0.0000 0.0000 0.2391
```

---

5.
AlRu after structural relaxation. Source: Alexandria via LeMat-Bulk, functional PBE.

Results
Total energy: -5.482 eV/atom
Volume: 25.8 Å³/atom
Density of states at the Fermi level: 1.90 states/eV/f.u.
Calculated formation energy: 2.05 eV/f.u.

The structure in CIF format:
```
data_AlRu
_space_group_name_H-M_alt 'P m -3 n'
_space_group_IT_number 223
_space_group_name_Hall '-P 4n 2 3'
_cell_length_a 6.7669
_cell_length_b 6.7669
_cell_length_c 6.7669
_cell_angle_alpha 90.00
_cell_angle_beta 90.00
_cell_angle_gamma 90.00
loop_
_atom_site_label
_atom_site_fract_x
_atom_site_fract_y
_atom_site_fract_z
Al1 0.0000 0.2500 0.5000
Ru1 0.0000 0.5000 0.2500
```

---

6.
GaTe2Os after structural relaxation. Source: Alexandria via LeMat-Bulk, functional PBE.

Results
Total energy: -4.802 eV/atom
Volume: 29.8 Å³/atom
Density of states at the Fermi level: 5.00 states/eV/f.u.
Energy relative to the elements, uncorrected: 0.3328 eV/atom

The structure in CIF format:
```
data_GaTe2Os
_space_group_name_H-M_alt 'R -3 m'
_space_group_IT_number 166
_space_group_name_Hall '-R 3 2"'
_cell_length_a 3.9880
_cell_length_b 3.9880
_cell_length_c 25.9678
_cell_angle_alpha 90.00
_cell_angle_beta 90.00
_cell_angle_gamma 120.00
loop_
_atom_site_label
_atom_site_fract_x
_atom_site_fract_y
_atom_site_fract_z
Ga1 0.0000 0.0000 0.0000
Te1 0.0000 0.0000 0.1148
Os1 0.0000 0.0000 0.5000
```

---

7.
Rb2SrTiZn after structural relaxation. Source: Alexandria via LeMat-Bulk, functional PBE.

Results
Total energy: -1.839 eV/atom
Volume: 48.7 Å³/atom
Density of states at the Fermi level: 8.60 states/eV/f.u.
Calculated formation energy: 3.59 eV/f.u.

The structure in CIF format:
```
data_Rb2SrTiZn
_space_group_name_H-M_alt 'P 4/m m m'
_space_group_IT_number 123
_space_group_name_Hall '-P 4 2'
_cell_length_a 6.6855
_cell_length_b 6.6855
_cell_length_c 5.4452
_cell_angle_alpha 90.00
_cell_angle_beta 90.00
_cell_angle_gamma 90.00
loop_
_atom_site_label
_atom_site_fract_x
_atom_site_fract_y
_atom_site_fract_z
Rb1 0.0000 0.5000 0.0000
Sr1 0.0000 0.0000 0.5000
Ti1 0.5000 0.5000 0.5000
Zn1 0.5000 0.5000 0.0000
```

---

8.
LiRe2 after structural relaxation. Source: Alexandria via LeMat-Bulk, functional PBE.

Results
E above lowest polymorph: 172 meV/atom
Total energy: -8.668 eV/atom
Volume: 13.8 Å³/atom
Density of states at the Fermi level: 2.13 states/eV/f.u.
Calculated formation energy: 0.80 eV/f.u.

The structure in CIF format:
```
data_LiRe2
_space_group_name_H-M_alt 'P -6 2 m'
_space_group_IT_number 189
_space_group_name_Hall 'P -6 -2'
_cell_length_a 7.3966
_cell_length_b 7.3966
_cell_length_c 2.6164
_cell_angle_alpha 90.00
_cell_angle_beta 90.00
_cell_angle_gamma 120.00
loop_
_atom_site_label
_atom_site_fract_x
_atom_site_fract_y
_atom_site_fract_z
Li1 0.0000 0.0000 0.0000
Li2 0.3333 0.6667 0.5000
Re1 0.0000 0.3150 0.5000
Re2 0.0000 0.6514 0.0000
```

---

9.
YReTe2I after structural relaxation. Source: Alexandria via LeMat-Bulk, functional PBE.

Results
E above lowest polymorph: 0 meV/atom
Total energy: -4.972 eV/atom
Volume: 30.1 Å³/atom
Density of states at the Fermi level: 6.13 states/eV/f.u.
Energy relative to the elements, uncorrected: 0.3772 eV/atom

The structure in CIF format:
```
data_YReTe2I
_space_group_name_H-M_alt 'P 4/m m m'
_space_group_IT_number 123
_space_group_name_Hall '-P 4 2'
_cell_length_a 5.2426
_cell_length_b 5.2426
_cell_length_c 5.4766
_cell_angle_alpha 90.00
_cell_angle_beta 90.00
_cell_angle_gamma 90.00
loop_
_atom_site_label
_atom_site_fract_x
_atom_site_fract_y
_atom_site_fract_z
Y1 0.0000 0.0000 0.0000
Re1 0.5000 0.5000 0.5000
Te1 0.0000 0.5000 0.5000
I1 0.5000 0.5000 0.0000
```

---

10.
La3Ho4Er4 after structural relaxation. Source: Alexandria via LeMat-Bulk, functional PBE.

Results
E above lowest polymorph: 0 meV/atom
Total energy: -4.508 eV/atom
Volume: 33.4 Å³/atom
Density of states at the Fermi level: 17.50 states/eV/f.u.
Calculated formation energy: 1.76 eV/f.u.

The structure in CIF format:
```
data_La3Ho4Er4
_space_group_name_H-M_alt 'A m m 2'
_space_group_IT_number 38
_cell_length_a 10.6177
_cell_length_b 5.7247
_cell_length_c 12.1063
_cell_angle_alpha 90.00
_cell_angle_beta 90.00
_cell_angle_gamma 90.00
loop_
_space_group_symop_operation_xyz
'x,y,z'
'-x,-y,z'
'-x,y,z'
'x,-y,z'
'x,y+1/2,z+1/2'
'-x,-y+1/2,z+1/2'
'-x,y+1/2,z+1/2'
'x,-y+1/2,z+1/2'
loop_
_atom_site_label
_atom_site_fract_x
_atom_site_fract_y
_atom_site_fract_z
La1 0.0000 0.0000 0.0000
La2 0.2904 0.0000 0.1545
Ho1 0.0000 0.0000 0.6998
Ho2 0.2170 0.0000 0.4955
Ho3 0.5000 0.0000 0.6357
Er1 0.0000 0.0000 0.3037
Er2 0.2985 0.0000 0.8509
Er3 0.5000 0.0000 0.3634
```

---

11.
NaBi2POs after structural relaxation. Source: Alexandria via LeMat-Bulk, functional PBE.

Results
Total energy: -4.785 eV/atom
Volume: 28.5 Å³/atom
Density of states at the Fermi level: 4.90 states/eV/f.u.
Calculated formation energy: 1.79 eV/f.u.

The structure in CIF format:
```
data_NaBi2POs
_space_group_name_H-M_alt 'P 4/m m m'
_space_group_IT_number 123
_space_group_name_Hall '-P 4 2'
_cell_length_a 5.7090
_cell_length_b 5.7090
_cell_length_c 4.3724
_cell_angle_alpha 90.00
_cell_angle_beta 90.00
_cell_angle_gamma 90.00
loop_
_atom_site_label
_atom_site_fract_x
_atom_site_fract_y
_atom_site_fract_z
Na1 0.0000 0.0000 0.0000
Bi1 0.0000 0.5000 0.5000
P1 0.5000 0.5000 0.0000
Os1 0.5000 0.5000 0.5000
```

---

12.
Na2Ca3HfS6 after structural relaxation. Source: Alexandria via LeMat-Bulk, functional PBE.

Results
Total energy: -5.391 eV/atom
Volume: 22.0 Å³/atom
Density of states at the Fermi level: 0.00 states/eV/f.u.
Energy relative to the elements, uncorrected: -1.7780 eV/atom

The structure in CIF format:
```
data_Na2Ca3HfS6
_space_group_name_H-M_alt 'C 1 2/m 1'
_space_group_IT_number 12
_cell_length_a 6.9581
_cell_length_b 11.9936
_cell_length_c 6.7526
_cell_angle_alpha 90.00
_cell_angle_beta 110.34
_cell_angle_gamma 90.00
loop_
_space_group_symop_operation_xyz
'x,y,z'
'-x,-y,-z'
'-x,y,-z'
'x,-y,z'
'x+1/2,y+1/2,z'
'-x+1/2,-y+1/2,-z'
'-x+1/2,y+1/2,-z'
'x+1/2,-y+1/2,z'
loop_
_atom_site_label
_atom_site_fract_x
_atom_site_fract_y
_atom_site_fract_z
Na1 0.0000 0.1658 0.0000
Ca1 0.0000 0.0000 0.5000
Ca2 0.0000 0.3303 0.5000
Hf1 0.0000 0.5000 0.0000
S1 0.2239 0.5000 0.7653
S2 0.2330 0.3466 0.2408
```